BaBrNF2, relaxed, DFT PBE; E above lowest polymorph = 143.0 meV per atom; VASP energy = -3.93 eV per atom; SG = P4/mmm; formation energy from raw total energies = -0.801 eV per atom
1.0
5.004 0.000 0.000
0.000 5.004 0.000
0.000 0.000 6.274
Ba Br N F
1 1 1 2
direct
0.000 0.000 0.000
0.500 0.500 0.500
0.000 0.000 0.500
0.000 0.500 0.000
0.500 0.000 0.000